1.
# Cs2SrInI6 | the Alexandria database | PBE-GGA | optimized geometry
# SG   Fm-3m (225)
# E_form (uncorrected)   -1.223 eV per atom
# Raw total energy   -27.7 eV for the cell shown
# DOS at the Fermi energy   6.5 states/eV/f.u.
data_Cs2SrInI6
_chemical_formula_sum 'Cs2 Sr1 In1 I6'
_cell_length_a 8.983
_cell_length_b 8.983
_cell_length_c 8.982
_cell_angle_alpha 60.00
_cell_angle_beta 60.00
_cell_angle_gamma 90.00
_space_group_name_H-M_alt 'P 1'
_space_group_IT_number 1
loop_
_space_group_symop_operation_xyz
'x,y,z'
loop_
_atom_site_label
_atom_site_type_symbol
_atom_site_fract_x
_atom_site_fract_y
_atom_site_fract_z
I1 I 0.755 0.245 0.000
I2 I 0.245 0.245 0.510
I3 I 0.755 0.755 0.000
I4 I 0.755 0.755 0.490
I5 I 0.245 0.245 0.000
I6 I 0.245 0.755 0.000
In1 In 0.000 0.000 0.000
Cs1 Cs 0.750 0.250 0.500
Cs2 Cs 0.250 0.750 0.500
Sr1 Sr 0.500 0.500 0.000



2.
# Cs2TaInI | the Alexandria database | PBE-GGA | optimized geometry
# SG   P4/mmm (123)
# E_form (uncorrected)   1.018 eV per atom
# Raw total energy   -12.8 eV for the cell shown
# DOS at the Fermi energy   1.8 states/eV/f.u.
data_Cs2TaInI
_chemical_formula_sum 'Cs2 Ta1 In1 I1'
_cell_length_a 7.087
_cell_length_b 6.462
_cell_length_c 7.087
_cell_angle_alpha 90.00
_cell_angle_beta 90.00
_cell_angle_gamma 90.00
_space_group_name_H-M_alt 'P 1'
_space_group_IT_number 1
loop_
_space_group_symop_operation_xyz
'x,y,z'
loop_
_atom_site_label
_atom_site_type_symbol
_atom_site_fract_x
_atom_site_fract_y
_atom_site_fract_z
Cs1 Cs 0.000 0.000 0.500
Cs2 Cs 0.500 0.000 0.000
Ta1 Ta 0.500 0.500 0.500
I1 I 0.000 0.000 0.000
In1 In 0.000 0.500 0.000